LiAgS2Cl | GGA-PBEsol | relaxed

a = 4.0923 Å, b = 4.0923 Å, c = 5.8910 Å
α = 90.00°, β = 90.00°, γ = 90.00°
Last column: nearest neighbours and their distance in Å.
Positions (direct):
Li 0.0000 0.0000 0.0000  4 S 2.05
Ag 0.5000 0.5000 0.5000  4 Cl 2.89
S 0.0000 0.5000 0.0000  2 Li 2.05
S 0.5000 0.0000 0.0000  2 Li 2.05
Cl 0.0000 0.0000 0.5000  4 Ag 2.89, 2 Li 2.95

Calculated values
Fermi-level density of states in states/eV/f.u.: 3.90
SG: P4/mmm (123)
Mass density in g/cm3: 3.6
Formation energy from raw total energies in meV per atom: 238
Magnetic moment in μB per atom: 0.0004



CdPWS2 | GGA-PBEsol | relaxed

a = 4.7600 Å, b = 4.7600 Å, c = 4.7499 Å
α = 90.00°, β = 90.00°, γ = 90.00°
Last column: nearest neighbours and their distance in Å.
Positions (direct):
Cd 0.0000 0.0000 0.0000  2 P 2.37, 4 S 2.38
P 0.0000 0.0000 0.5000  2 Cd 2.37
W 0.5000 0.5000 0.5000  8 S 3.36, 4 P 3.37
S 0.0000 0.5000 0.0000  2 Cd 2.38
S 0.5000 0.0000 0.0000  2 Cd 2.38

Calculated values
Fermi-level density of states in states/eV/f.u.: 3.12
SG: P4/mmm (123)
Mass density in g/cm3: 6.0
Formation energy from raw total energies in meV per atom: 1735
Magnetic moment in μB per atom: 0.4797



K3BeHg | GGA-PBEsol | relaxed

a = 6.2507 Å, b = 6.2507 Å, c = 6.2507 Å
α = 90.00°, β = 90.00°, γ = 90.00°
Last column: nearest neighbours and their distance in Å.
Positions (direct):
K 0.0000 0.0000 0.5000  2 Be 3.13
K 0.0000 0.5000 0.0000  2 Be 3.13
K 0.5000 0.0000 0.0000  2 Be 3.13
Be 0.0000 0.0000 0.0000  6 K 3.13
Hg 0.5000 0.5000 0.5000  12 K 4.42

Calculated values
Fermi-level density of states in states/eV/f.u.: 4.10
SG: Pm-3m (221)
Mass density in g/cm3: 2.2
Energy of formation from the pure elements in eV/atom: 0.555
Magnetic moment in μB per atom: 0.0001